# 1
CdCu6Ni2 GGA-PBE optimized geometry; DOS(E_F) = 7.852 states/eV/cell; energy = -71.88 eV per cell; magnetization = 0.0000 μB per atom; space-group type = C2/m (12); E_form = 1.112 eV per formula unit
1.0
-14.482 -6.127 -4.360
-7.607 -5.805 -5.653
-8.539 -7.071 -0.777
Cu Ni Cd
12 4 2
Direct
0.244 0.558 0.559
0.766 0.902 0.372
0.744 0.559 0.558
0.756 0.442 0.441
0.234 0.628 0.098
0.734 0.628 0.098
0.256 0.441 0.442
0.234 0.098 0.628
0.266 0.902 0.372
0.734 0.098 0.628
0.766 0.372 0.902
0.266 0.372 0.902
0.246 0.255 0.255
0.754 0.745 0.745
0.746 0.255 0.255
0.254 0.745 0.745
0.250 0.000 0.000
0.750 0.000 0.000

=====

# 2
CdCu2Ni GGA-PBE optimized geometry; DOS(E_F) = 3.344 states/eV/cell; energy = -27.17 eV per cell; magnetization = 0.0000 μB per atom; space-group type = I-42d (122); E_form = 1.302 eV per formula unit
1.0
-2.187 -0.178 2.901
-2.298 -2.117 -1.862
2.187 -8.498 3.410
Ni Cu Cd
2 4 2
Direct
0.500 0.500 0.000
0.250 0.750 0.500
0.604 0.125 0.250
0.875 0.854 0.750
0.375 0.396 0.750
0.146 0.625 0.250
0.000 0.000 0.000
0.750 0.250 0.500

=====

Among the records above, which one has the highest E_form? CdCu2Ni

=====

Which formula does entry 1 have? CdCu6Ni2

=====

Among the records above, which one has the highest DOS(E_F)? CdCu6Ni2

=====

magnetization of number 2 (CdCu2Ni)? 0.0000 μB per atom